First-principles (GGA+U) data for crystalline MnSiHNO at its relaxed geometry, as listed in Alexandria.

Cell: 4.853 3.057 4.730 Å, 90.00 109.50 90.00°
Sites, in units of the cell vectors:
Mn1 0.065 0.500 0.353
Si1 0.739 0.000 0.658
H1 0.344 0.000 0.816
N1 0.372 0.000 0.609
O1 0.950 0.000 0.010

Properties
As for the calculated volume: 13.23 A^3/atom. For the energy relative to the lowest polymorph listed for this composition, the calculation gives 0.256 eV/atom. The space-group type is Pm, No. 6.

=====

First-principles (GGA+U) data for crystalline MnSiHNO at its relaxed geometry, as listed in Alexandria.

Cell: 3.016 3.236 10.641 Å, 90.00 90.00 90.00°
Sites, in units of the cell vectors:
Mn1 0.500 0.000 0.028
Mn2 0.500 0.500 0.528
Si1 0.000 0.000 0.737
Si2 0.000 0.500 0.237
H1 0.000 0.000 0.262
H2 0.000 0.500 0.762
N1 0.000 0.000 0.578
N2 0.000 0.500 0.078
O1 0.500 0.000 0.819
O2 0.500 0.500 0.319

Properties
As for the calculated volume: 10.38 A^3/atom. For the energy relative to the lowest polymorph listed for this composition, the calculation gives 0.206 eV/atom. The space-group type is Amm2, No. 38.

=====

First-principles (GGA+U) data for crystalline MnSiHNO at its relaxed geometry, as listed in Alexandria.

Cell: 3.141 3.844 9.222 Å, 90.00 90.07 90.00°
Sites, in units of the cell vectors:
Mn1 0.375 0.000 0.519
Mn2 0.375 0.500 0.019
Si1 0.875 0.000 0.850
Si2 0.875 0.500 0.350
H1 0.874 0.000 0.680
H2 0.874 0.500 0.180
N1 0.375 0.000 0.940
N2 0.375 0.500 0.440
O1 0.875 0.000 0.349
O2 0.875 0.500 0.849

Properties
As for the calculated volume: 11.13 A^3/atom. For the energy relative to the lowest polymorph listed for this composition, the calculation gives 0.238 eV/atom. The space-group type is Amm2, No. 38.